(1)
Compound: TaInSe2N
Source: Alexandria
Functional: PBE
Structure: optimized geometry

abc: 5.260 5.260 3.976
angles: 90.00 90.00 90.00
Element x y z (fractional)
Ta 0.000 0.000 0.000
In 0.500 0.500 0.500
Se 0.000 0.500 0.500
Se 0.500 0.000 0.500
N 0.500 0.500 0.000

Summary:
The symmetry is P4/mmm (123).


(2)
Compound: PbSe2Cl
Source: Alexandria
Functional: PBE
Structure: optimized geometry

abc: 6.841 6.841 6.841
angles: 113.23 113.23 102.19
Element x y z (fractional)
Pb 0.000 0.000 0.000
Pb 0.750 0.250 0.500
Se 0.101 0.625 0.976
Se 0.375 0.351 0.476
Se 0.649 0.125 0.024
Se 0.875 0.899 0.524
Cl 0.250 0.750 0.500
Cl 0.500 0.500 0.000

Summary:
The symmetry is I-42d (122).


no.,uncorrected formation energy (eV/atom),offset from the most stable computed form (eV per atom)
1,1.247,1.4747
2,0.100,0.5249